Entry 1:
## NdLuNiPd (PBE)

Data for NdLuNiPd after structural relaxation.

Properties
* formation energy from the elements: -0.56 eV/atom
* calculated density: 9.536 g/cm³

Unit cell a=4.9223 b=4.9223 c=4.9223 alpha=60.00 beta=60.00 gamma=60.00
With the nearest neighbours (Å) after each atom.
Atoms (fractional coordinates):
Nd 0.0000 0.0000 0.0000  4 Ni 3.01, 4 Pd 3.01
Lu 0.5000 0.5000 0.5000  4 Pd 3.01, 4 Ni 3.01
Ni 0.2500 0.2500 0.2500  4 Lu 3.01, 4 Nd 3.01
Pd 0.7500 0.7500 0.7500  4 Lu 3.01, 4 Nd 3.01

Entry 2:
## Mg5Se7 (PBE)

Data for Mg5Se7 after structural relaxation.

Properties
* raw formation energy: -0.48 eV/atom
* calculated density: 3.543 g/cm³

Unit cell a=7.8592 b=7.8592 c=7.8592 alpha=98.33 beta=98.33 gamma=135.26
With the nearest neighbours (Å) after each atom.
Atoms (fractional coordinates):
Mg 0.0000 0.0000 0.0000  5 Se 2.51-2.68
Mg 0.4091 0.4091 0.6466  3 Se 2.64-2.76
Mg 0.4091 0.7625 0.0000  3 Se 2.64-2.76
Mg 0.7625 0.4091 0.0000  3 Se 2.64-2.76
Mg 0.7625 0.7625 0.3534  3 Se 2.64-2.76
Se 0.1308 0.8800 0.2508  1 Se 2.56, 3 Mg 2.64-2.68
Se 0.3993 0.8993 0.5000  2 Se 2.56
Se 0.4189 0.4189 0.0000  5 Mg 2.51-2.76
Se 0.6293 0.8800 0.7492  1 Se 2.56, 3 Mg 2.64-2.68
Se 0.8800 0.1308 0.2508  1 Se 2.56, 3 Mg 2.64-2.68
Se 0.8800 0.6293 0.7492  1 Se 2.56, 3 Mg 2.64-2.68
Se 0.8993 0.3993 0.5000  2 Se 2.56

Entry 3:
## CaTl7Hg3 (PBE)

Data for CaTl7Hg3 after structural relaxation.

Properties
* formation energy from the elements: -0.06 eV/atom
* calculated density: 10.312 g/cm³

Unit cell a=6.9621 b=6.9621 c=7.9508 alpha=90.00 beta=90.00 gamma=120.00
With the nearest neighbours (Å) after each atom.
Atoms (fractional coordinates):
Ca 0.0000 0.0000 0.0000  3 Hg 3.25, 9 Tl 3.48-3.53
Tl 0.3333 0.6667 0.6645  3 Hg 3.39, 9 Tl 3.43-3.49
Tl 0.3424 0.1712 0.6401  2 Hg 3.23, 8 Tl 3.39-3.58, 1 Ca 3.53
Tl 0.5044 0.0089 0.0095  2 Hg 3.23, 7 Tl 3.39-3.57, 2 Ca 3.48
Tl 0.5044 0.4956 0.0095  2 Hg 3.23, 7 Tl 3.39-3.57, 2 Ca 3.48
Tl 0.8288 0.1712 0.6401  2 Hg 3.23, 8 Tl 3.39-3.58, 1 Ca 3.53
Tl 0.8288 0.6576 0.6401  2 Hg 3.23, 8 Tl 3.39-3.58, 1 Ca 3.53
Tl 0.9911 0.4956 0.0095  2 Hg 3.23, 7 Tl 3.39-3.57, 2 Ca 3.48
Hg 0.1649 0.3299 0.3237  5 Tl 3.23-3.39, 1 Ca 3.25, 4 Hg 3.45-3.52
Hg 0.1649 0.8351 0.3237  5 Tl 3.23-3.39, 1 Ca 3.25, 4 Hg 3.45-3.52
Hg 0.6701 0.8351 0.3237  5 Tl 3.23-3.39, 1 Ca 3.25, 4 Hg 3.45-3.52

Entry 4:
## SrAgN (PBE)

Data for SrAgN after structural relaxation.

Properties
* raw formation energy: -0.01 eV/atom
* calculated density: 5.070 g/cm³

Unit cell a=8.0773 b=8.0773 c=8.0773 alpha=32.75 beta=32.75 gamma=32.75
With the nearest neighbours (Å) after each atom.
Atoms (fractional coordinates):
Sr 0.1129 0.1129 0.1129  4 N 2.54-2.63
Sr 0.8871 0.8871 0.8871  4 N 2.54-2.63
Ag 0.3135 0.3135 0.3135  1 N 2.06
Ag 0.6865 0.6865 0.6865  1 N 2.06
N 0.2238 0.2238 0.2238  1 Ag 2.06
N 0.7762 0.7762 0.7762  1 Ag 2.06

Entry 5:
## Pr2NdDy3As6 (PBE)

Data for Pr2NdDy3As6 after structural relaxation.

Properties
* formation energy from the elements: -1.51 eV/atom
* calculated density: 7.159 g/cm³

Unit cell a=9.4062 b=9.4062 c=8.4119 alpha=102.86 beta=102.86 gamma=25.87
With the nearest neighbours (Å) after each atom.
Atoms (fractional coordinates):
Pr 0.1665 0.1665 0.3329  6 As 3.02
Pr 0.8335 0.8335 0.6671  6 As 3.02
Nd 0.5000 0.5000 0.0000  6 As 3.01
Dy 0.1667 0.1667 0.8334  6 As 2.93-2.94
Dy 0.5000 0.5000 0.5000  6 As 2.93-2.94
Dy 0.8333 0.8333 0.1666  6 As 2.93-2.94
As 0.0026 0.0026 0.7451  3 Dy 2.93-2.94, 2 Nd 3.01, 1 Pr 3.02
As 0.3313 0.3313 0.9235  3 Dy 2.93-2.94, 1 Nd 3.01, 2 Pr 3.02
As 0.3359 0.3359 0.4103  3 Dy 2.93, 3 Pr 3.02
As 0.6641 0.6641 0.5897  3 Dy 2.93, 3 Pr 3.02
As 0.6687 0.6687 0.0765  3 Dy 2.93-2.94, 1 Nd 3.01, 2 Pr 3.02
As 0.9974 0.9974 0.2549  3 Dy 2.93-2.94, 2 Nd 3.01, 1 Pr 3.02

Entry 6:
## RbPd2Au2 (PBE)

Data for RbPd2Au2 after structural relaxation.

Properties
* formation energy from the elements: 0.00 eV/atom
* calculated density: 11.173 g/cm³
* ΔE to the lowest computed polymorph: 36 meV/atom

Unit cell a=8.4351 b=8.4351 c=2.8920 alpha=90.00 beta=90.00 gamma=90.00
With the nearest neighbours (Å) after each atom.
Atoms (fractional coordinates):
Rb 0.0000 0.0000 0.0000  2 Rb 2.89
Rb 0.5000 0.5000 0.0000  2 Rb 2.89
Pd 0.1660 0.3340 0.5000  6 Au 2.85-2.89, 2 Pd 2.89
Pd 0.3340 0.8340 0.5000  6 Au 2.85-2.89, 2 Pd 2.89
Pd 0.6660 0.1660 0.5000  6 Au 2.85-2.89, 2 Pd 2.89
Pd 0.8340 0.6660 0.5000  6 Au 2.85-2.89, 2 Pd 2.89
Au 0.1278 0.6278 0.0000  6 Pd 2.85-2.89, 3 Au 2.89-3.05
Au 0.3722 0.1278 0.0000  6 Pd 2.85-2.89, 3 Au 2.89-3.05
Au 0.6278 0.8722 0.0000  6 Pd 2.85-2.89, 3 Au 2.89-3.05
Au 0.8722 0.3722 0.0000  6 Pd 2.85-2.89, 3 Au 2.89-3.05

Entry 7:
## ReI3 (PBE)

Data for ReI3 after structural relaxation.

Properties
* raw formation energy: 1.47 eV/atom
* calculated density: 7.884 g/cm³
* ΔE to the lowest computed polymorph: 1509 meV/atom

Unit cell a=5.5272 b=5.5272 c=5.5272 alpha=60.00 beta=60.00 gamma=60.00
With the nearest neighbours (Å) after each atom.
Atoms (fractional coordinates):
Re 0.0000 0.0000 0.0000  8 I 3.38
I 0.2500 0.2500 0.2500  4 Re 3.38, 4 I 3.38
I 0.5000 0.5000 0.5000  8 I 3.38
I 0.7500 0.7500 0.7500  4 Re 3.38, 4 I 3.38

Entry 8:
## MgTl4I6 (PBE)

Data for MgTl4I6 after structural relaxation.

Properties
* raw formation energy: -0.73 eV/atom
* calculated density: 4.927 g/cm³

Unit cell a=9.0338 b=9.0338 c=16.0369 alpha=102.49 beta=102.49 gamma=58.46
With the nearest neighbours (Å) after each atom.
Atoms (fractional coordinates):
Mg 0.2383 0.7617 0.5000  4 I 2.74-2.76
Mg 0.7617 0.2383 0.0000  4 I 2.74-2.76
Tl 0.0936 0.4407 0.5205  5 I 3.37-3.73
Tl 0.1736 0.9472 0.2647  5 I 3.37-3.71
Tl 0.2132 0.6057 0.9058  5 I 3.33-3.62
Tl 0.4407 0.0936 0.0205  5 I 3.37-3.73
Tl 0.5846 0.8230 0.7029  5 I 3.36-3.67
Tl 0.6057 0.2132 0.4058  5 I 3.33-3.62
Tl 0.8230 0.5846 0.2029  5 I 3.36-3.67
Tl 0.9472 0.1736 0.7647  5 I 3.37-3.71
I 0.9997 0.4908 0.7203  4 Tl 3.36-3.45
I 0.2049 0.5847 0.3398  1 Mg 2.76
I 0.3423 0.8481 0.8469  4 Tl 3.33-3.43
I 0.3662 0.9744 0.4929  1 Mg 2.74
I 0.4786 0.4998 0.5991  1 Mg 2.76
I 0.4908 0.9997 0.2203  4 Tl 3.36-3.45
I 0.4998 0.4786 0.0991  1 Mg 2.76
I 0.5847 0.2049 0.8398  1 Mg 2.76
I 0.8481 0.3423 0.3469  4 Tl 3.33-3.43
I 0.9211 0.9229 0.5611  1 Mg 2.74
I 0.9229 0.9211 0.0611  1 Mg 2.74
I 0.9744 0.3662 0.9929  1 Mg 2.74

Entry 9:
## HgPtSe2 (PBE)

Data for HgPtSe2 after structural relaxation.

Properties
* raw formation energy: 0.21 eV/atom
* calculated density: 9.646 g/cm³
* ΔE to the lowest computed polymorph: 506 meV/atom

Unit cell a=3.5171 b=3.5171 c=7.7041 alpha=90.00 beta=90.00 gamma=90.00
With the nearest neighbours (Å) after each atom.
Atoms (fractional coordinates):
Hg 0.0000 0.0000 0.0000  5 Se 2.82-2.96
Pt 0.5000 0.5000 0.2918  4 Se 2.59
Se 0.0000 0.0000 0.3844  4 Pt 2.59
Se 0.5000 0.5000 0.8287  4 Hg 2.82

Entry 10:
## SrIn5Ag3 (PBE)

Data for SrIn5Ag3 after structural relaxation.

Properties
* formation energy from the elements: -0.11 eV/atom
* calculated density: 6.986 g/cm³

Unit cell a=7.6252 b=7.6252 c=14.5179 alpha=90.00 beta=90.00 gamma=146.30
With the nearest neighbours (Å) after each atom.
Atoms (fractional coordinates):
Sr 0.1514 0.8486 0.7500  6 Ag 3.56-3.70
Sr 0.8486 0.1514 0.2500  6 Ag 3.56-3.70
In 0.0000 0.0000 0.0000  4 Ag 2.92, 6 In 3.03-3.21
In 0.0000 0.0000 0.5000  4 Ag 2.92, 6 In 3.03-3.21
In 0.1977 0.8023 0.0647  2 Ag 2.73-2.80, 1 In 3.03
In 0.1977 0.8023 0.4353  2 Ag 2.73-2.80, 1 In 3.03
In 0.4421 0.5579 0.6492  3 Ag 2.83-2.94, 1 In 2.93
In 0.4421 0.5579 0.8508  3 Ag 2.83-2.94, 1 In 2.93
In 0.5579 0.4421 0.1492  3 Ag 2.83-2.94, 1 In 2.93
In 0.5579 0.4421 0.3508  3 Ag 2.83-2.94, 1 In 2.93
In 0.8023 0.1977 0.5647  2 Ag 2.73-2.80, 1 In 3.03
In 0.8023 0.1977 0.9353  2 Ag 2.73-2.80, 1 In 3.03
Ag 0.1449 0.8551 0.2500  6 In 2.80-2.94
Ag 0.3850 0.6150 0.0617  4 In 2.73-2.92
Ag 0.3850 0.6150 0.4383  4 In 2.73-2.92
Ag 0.6150 0.3850 0.5617  4 In 2.73-2.92
Ag 0.6150 0.3850 0.9383  4 In 2.73-2.92
Ag 0.8551 0.1449 0.7500  6 In 2.80-2.94

Entry 11:
## B5C7 (PBE)

Data for B5C7 after structural relaxation.

Properties
* formation energy from the elements: 0.33 eV/atom
* calculated density: 2.905 g/cm³
* ΔE to the lowest computed polymorph: 72 meV/atom

Unit cell a=6.8224 b=6.8224 c=4.8351 alpha=104.65 beta=104.65 gamma=21.29
With the nearest neighbours (Å) after each atom.
Atoms (fractional coordinates):
B 0.0000 0.0000 0.0000  2 C 1.57-1.65
B 0.1732 0.1732 0.8544  4 C 1.63-1.80
B 0.3304 0.3304 0.7318  3 C 1.56-1.59
B 0.3871 0.3871 0.3797  3 C 1.60-1.63
B 0.5551 0.5551 0.2666  2 C 1.61-1.69
C 0.0482 0.0482 0.7196  2 C 1.52, 2 B 1.63-1.65
C 0.2182 0.2182 0.5352  2 C 1.53, 1 B 1.56
C 0.5058 0.5058 0.5562  2 C 1.52, 2 B 1.60-1.69
C 0.6795 0.6795 0.3631  3 C 1.53-1.56, 1 B 1.61
C 0.7201 0.7201 0.0883  2 C 1.50-1.56
C 0.8357 0.8357 0.1782  2 C 1.50-1.51, 2 B 1.63
C 0.8788 0.8788 0.9194  1 C 1.51, 3 B 1.57-1.59

Entry 12:
## LaZr2Mo (PBE)

Data for LaZr2Mo after structural relaxation.

Properties
* formation energy from the elements: 0.40 eV/atom
* calculated density: 7.697 g/cm³
* ΔE to the lowest computed polymorph: 319 meV/atom

Unit cell a=4.9454 b=4.9454 c=3.7432 alpha=90.00 beta=90.00 gamma=100.47
With the nearest neighbours (Å) after each atom.
Atoms (fractional coordinates):
La 0.0000 0.0000 0.0000  8 Zr 3.10, 2 Mo 3.16
Zr 0.0000 0.5000 0.5000  4 La 3.10, 4 Mo 3.10, 2 Zr 3.16
Zr 0.5000 0.0000 0.5000  4 La 3.10, 4 Mo 3.10, 2 Zr 3.16
Mo 0.5000 0.5000 0.0000  8 Zr 3.10, 2 La 3.16

| no. | Fermi-level density of states (states/eV per cell) |
| --- | --- |
| 1 | 3.94 |
| 2 | 2.68 |
| 3 | 6.06 |
| 4 | 0.00 |
| 5 | 1.83 |
| 6 | 3.96 |
| 7 | 2.14 |
| 8 | 0.00 |
| 9 | 2.73 |
| 10 | 6.22 |
| 11 | 1.59 |
| 12 | 5.37 |